(1)
First-principles (PBE-GGA) data for LaAl2InFe after structural relaxation, as listed in Alexandria via LeMat-Bulk.

extended XYZ file:
```
5
Lattice="-1.510 1.433 4.142 -3.249 -3.307 -0.040 3.114 -3.087 2.203" Properties=species:S:1:pos:R:3 pbc="T T T"
Fe 0.000 0.000 0.000
Al -0.755 0.716 2.071
La -0.822 -2.480 3.152
Al -1.625 -1.653 -0.020
In 1.557 -1.543 1.101
```

Computed properties:
Formation energy from the elements (meV per atom): -286
SG: No. 123

(2)
First-principles (PBE-GGA) data for Al2InFePd after structural relaxation, as listed in Alexandria via LeMat-Bulk.

extended XYZ file:
```
5
Lattice="-0.331 3.011 3.563 1.495 -3.544 3.134 4.447 1.283 -0.671" Properties=species:S:1:pos:R:3 pbc="T T T"
In 2.805 0.375 3.013
Pd 0.000 0.000 0.000
Fe 0.748 -1.772 1.567
Al 2.223 0.641 -0.335
Al -0.166 1.505 1.781
```

Computed properties:
Formation energy from the elements (meV per atom): 289
SG: No. 123

(3)
First-principles (PBE-GGA) data for Al2ZnInFe after structural relaxation, as listed in Alexandria via LeMat-Bulk.

extended XYZ file:
```
5
Lattice="4.561 0.000 0.000 0.000 4.730 0.000 0.000 0.000 4.561" Properties=species:S:1:pos:R:3 pbc="T T T"
In 2.280 2.365 2.280
Al 0.000 0.000 2.280
Al 2.280 0.000 0.000
Zn 0.000 2.365 0.000
Fe 0.000 0.000 0.000
```

Computed properties:
Formation energy from the elements (meV per atom): 215
SG: No. 123

(4)
First-principles (PBE-GGA) data for Al2FeIr after structural relaxation, as listed in Alexandria via LeMat-Bulk.

extended XYZ file:
```
4
Lattice="-0.158 -2.566 3.286 -3.484 -0.257 2.281 -2.346 -3.447 -0.155" Properties=species:S:1:pos:R:3 pbc="T T T"
Al -1.497 -1.568 1.353
Fe 0.000 0.000 0.000
Al -4.491 -4.703 4.059
Ir -2.994 -3.135 2.706
```

Computed properties:
Formation energy from the elements (meV per atom): -672
SG: No. 225

(5)
First-principles (PBE-GGA) data for AlFe2Ir4 after structural relaxation, as listed in Alexandria via LeMat-Bulk.

extended XYZ file:
```
7
Lattice="4.432 0.000 0.000 0.000 4.432 0.000 2.216 2.216 6.189" Properties=species:S:1:pos:R:3 pbc="T T T"
Ir 2.216 2.216 3.784
Fe 4.432 4.432 4.739
Ir 0.000 2.216 0.000
Ir 4.432 4.432 2.405
Al 0.000 0.000 0.000
Fe 2.216 2.216 1.449
Ir 2.216 0.000 0.000
```

Computed properties:
Formation energy from the elements (meV per atom): 1071
SG: No. 139

(6)
First-principles (PBE-GGA) data for Al2Fe2Ir after structural relaxation, as listed in Alexandria via LeMat-Bulk.

extended XYZ file:
```
10
Lattice="6.837 0.000 0.000 0.000 6.837 0.000 0.000 0.000 2.806" Properties=species:S:1:pos:R:3 pbc="T T T"
Fe 0.776 2.643 0.000
Ir 0.000 0.000 0.000
Fe 4.195 0.776 0.000
Al 4.680 5.576 1.403
Ir 3.419 3.419 0.000
Fe 2.643 6.061 0.000
Al 5.576 2.158 1.403
Al 1.261 4.680 1.403
Al 2.158 1.261 1.403
Fe 6.061 4.195 0.000
```

Computed properties:
Formation energy from the elements (meV per atom): -128
SG: No. 127

(7)
First-principles (PBE-GGA) data for AlFe2Ir2 after structural relaxation, as listed in Alexandria via LeMat-Bulk.

extended XYZ file:
```
10
Lattice="7.115 0.000 0.000 0.000 7.115 0.000 0.000 0.000 2.750" Properties=species:S:1:pos:R:3 pbc="T T T"
Fe 2.733 6.291 0.000
Fe 4.382 0.824 0.000
Ir 5.846 2.288 1.375
Al 3.557 3.557 0.000
Ir 4.827 5.846 1.375
Fe 6.291 4.382 0.000
Fe 0.824 2.733 0.000
Al 0.000 0.000 0.000
Ir 1.269 4.827 1.375
Ir 2.288 1.269 1.375
```

Computed properties:
Formation energy from the elements (meV per atom): 26
SG: No. 127

(8)
First-principles (PBE-GGA) data for Al2FeIr after structural relaxation, as listed in Alexandria via LeMat-Bulk.

extended XYZ file:
```
4
Lattice="4.263 0.000 0.000 2.131 3.692 0.000 2.131 1.231 3.481" Properties=species:S:1:pos:R:3 pbc="T T T"
Ir 6.394 3.692 2.610
Fe 4.263 2.461 1.740
Al 0.000 0.000 0.000
Al 2.131 1.231 0.870
```

Computed properties:
Formation energy from the elements (meV per atom): -296
SG: No. 216

(9)
First-principles (PBE-GGA) data for Al2FeIr2 after structural relaxation, as listed in Alexandria via LeMat-Bulk.

extended XYZ file:
```
10
Lattice="7.079 0.000 0.000 0.000 7.079 0.000 0.000 0.000 2.810" Properties=species:S:1:pos:R:3 pbc="T T T"
Al 2.575 6.114 0.000
Ir 2.380 1.159 1.405
Ir 1.159 4.699 1.405
Al 4.504 0.965 0.000
Al 0.965 2.575 0.000
Fe 3.539 3.539 0.000
Ir 5.920 2.380 1.405
Ir 4.699 5.920 1.405
Al 6.114 4.504 0.000
Fe 0.000 0.000 0.000
```

Computed properties:
Formation energy from the elements (meV per atom): -266
SG: No. 127

(10)
First-principles (PBE-GGA) data for Al2FeIr after structural relaxation, as listed in Alexandria via LeMat-Bulk.

extended XYZ file:
```
4
Lattice="-4.143 -6.892 -2.032 -1.729 -7.362 -3.405 -1.952 -8.032 -0.678" Properties=species:S:1:pos:R:3 pbc="T T T"
Ir -5.869 -16.715 -4.586
Al -7.823 -22.281 -6.113
Fe -1.956 -5.572 -1.529
Al -3.914 -11.148 -3.059
```

Computed properties:
Formation energy from the elements (meV per atom): -348
SG: No. 166

(11)
First-principles (PBE-GGA) data for Al2FeIr2 after structural relaxation, as listed in Alexandria via LeMat-Bulk.

extended XYZ file:
```
5
Lattice="-0.213 -2.689 2.661 1.908 -2.378 -2.250 5.697 -0.731 2.414" Properties=species:S:1:pos:R:3 pbc="T T T"
Fe 0.000 0.000 0.000
Ir 3.166 -2.977 2.640
Al 5.486 -3.658 2.137
Al 1.906 -2.140 0.687
Ir 4.226 -2.821 0.185
```

Computed properties:
Formation energy from the elements (meV per atom): 319
SG: No. 139

(12)
First-principles (PBE-GGA) data for Al2FeIr after structural relaxation, as listed in Alexandria via LeMat-Bulk.

extended XYZ file:
```
4
Lattice="5.110 -0.001 -0.001 2.586 4.407 0.001 -3.440 -2.915 2.404" Properties=species:S:1:pos:R:3 pbc="T T T"
Al 2.636 -0.427 1.202
Fe 3.856 2.208 0.000
Al 0.073 0.042 0.000
Ir 1.539 1.872 1.202
```

Computed properties:
Formation energy from the elements (meV per atom): -489
SG: No. 44

(13)
First-principles (PBE-GGA) data for AlFe2Ir2 after structural relaxation, as listed in Alexandria via LeMat-Bulk.

extended XYZ file:
```
10
Lattice="7.105 0.000 0.000 0.000 7.105 0.000 0.000 0.000 2.716" Properties=species:S:1:pos:R:3 pbc="T T T"
Fe 1.188 4.740 1.358
Fe 5.917 2.365 1.358
Ir 6.172 4.486 0.000
Fe 2.365 1.188 1.358
Ir 4.486 0.933 0.000
Ir 2.619 6.172 0.000
Al 3.552 3.552 0.000
Fe 4.740 5.917 1.358
Ir 0.933 2.619 0.000
Al 0.000 0.000 0.000
```

Computed properties:
Formation energy from the elements (meV per atom): 107
SG: No. 127

(14)
First-principles (PBE-GGA) data for Al6Fe5Ir after structural relaxation, as listed in Alexandria via LeMat-Bulk.

extended XYZ file:
```
12
Lattice="4.005 0.002 -0.834 -0.003 5.840 -0.001 -0.746 0.000 6.428" Properties=species:S:1:pos:R:3 pbc="T T T"
Fe 0.837 2.921 3.998
Al 0.418 1.515 2.015
Al 2.839 1.516 3.578
Al 1.254 4.316 6.010
Al 0.417 4.326 2.015
Fe 2.429 5.842 1.649
Fe 2.420 2.921 1.595
Fe 0.828 0.001 3.944
Al 2.838 4.328 3.578
Ir 0.000 0.000 0.000
Al 2.002 1.526 -0.417
Fe -0.001 2.920 0.000
```

Computed properties:
Formation energy from the elements (meV per atom): -438
SG: No. 65

(15)
First-principles (PBE-GGA) data for Al2FeIr after structural relaxation, as listed in Alexandria via LeMat-Bulk.

extended XYZ file:
```
4
Lattice="-4.206 -1.328 0.213 -2.576 -3.578 -0.250 -0.312 -1.176 4.615" Properties=species:S:1:pos:R:3 pbc="T T T"
Al -3.559 -3.050 2.290
Al -7.081 -6.074 4.576
Fe -5.320 -4.562 3.433
Ir -1.773 -1.521 1.144
```

Computed properties:
Formation energy from the elements (meV per atom): -390
SG: No. 12

(16)
First-principles (PBE-GGA) data for Al2FeIr after structural relaxation, as listed in Alexandria via LeMat-Bulk.

extended XYZ file:
```
4
Lattice="2.737 -0.048 0.000 -1.113 2.500 0.000 0.000 0.000 8.503" Properties=species:S:1:pos:R:3 pbc="T T T"
Al 0.000 0.000 8.398
Fe 0.000 0.000 4.242
Ir 0.812 1.226 6.376
Al 0.812 1.226 2.243
```

Computed properties:
Formation energy from the elements (meV per atom): -44
SG: No. 35

(17)
First-principles (PBE-GGA) data for Al2FeIr after structural relaxation, as listed in Alexandria via LeMat-Bulk.

extended XYZ file:
```
4
Lattice="-0.517 2.333 -2.012 -1.848 -1.867 -1.691 -4.448 1.643 3.047" Properties=species:S:1:pos:R:3 pbc="T T T"
Al -4.394 1.623 3.010
Ir -4.579 1.487 0.475
Al -2.393 0.680 -1.022
Fe -2.119 0.782 1.451
```

Computed properties:
Formation energy from the elements (meV per atom): -361
SG: No. 99

(18)
First-principles (PBE-GGA) data for Al8Fe2Ir after structural relaxation, as listed in Alexandria via LeMat-Bulk.

extended XYZ file:
```
11
Lattice="-3.442 1.012 2.777 -3.272 -2.676 -3.082 5.849 -5.177 2.717" Properties=species:S:1:pos:R:3 pbc="T T T"
Fe 0.694 -3.173 2.475
Al -1.821 -2.817 2.785
Ir 4.657 -4.731 2.665
Al 3.005 -6.080 1.110
Al -0.539 -4.880 1.190
Al 2.211 -4.813 3.369
Al -4.701 -2.673 -0.743
Al -1.927 -3.523 -0.934
Fe -2.927 -1.931 0.800
Al 0.007 -5.440 -1.458
Al -0.412 -1.998 0.437
```

Computed properties:
Formation energy from the elements (meV per atom): -339
SG: No. 1

(19)
First-principles (PBE-GGA) data for Al2FeIr after structural relaxation, as listed in Alexandria via LeMat-Bulk.

extended XYZ file:
```
4
Lattice="-0.926 -2.784 -3.808 1.850 -3.140 -3.134 -0.874 -3.945 1.513" Properties=species:S:1:pos:R:3 pbc="T T T"
Ir 0.050 -2.266 -1.404
Fe -0.016 -5.143 -2.656
Al 0.874 -6.064 -6.806
Al 0.093 -7.254 -4.218
```

Computed properties:
Formation energy from the elements (meV per atom): -522
SG: No. 8

(20)
First-principles (PBE-GGA) data for Al3FeIr after structural relaxation, as listed in Alexandria via LeMat-Bulk.

extended XYZ file:
```
5
Lattice="4.695 0.000 0.000 0.000 4.695 0.000 0.000 0.000 4.695" Properties=species:S:1:pos:R:3 pbc="T T T"
Al 0.000 0.000 2.347
Al 2.347 0.000 0.000
Ir 0.000 0.000 0.000
Al 0.000 2.347 0.000
Fe 2.347 2.347 2.347
```

Computed properties:
Formation energy from the elements (meV per atom): 287
SG: No. 221

(21)
First-principles (PBE-GGA) data for Al4FeIr after structural relaxation, as listed in Alexandria via LeMat-Bulk.

extended XYZ file:
```
6
Lattice="4.818 -0.437 -1.110 2.450 -4.154 1.173 1.449 -3.120 -3.578" Properties=species:S:1:pos:R:3 pbc="T T T"
Ir 0.000 0.000 0.000
Al 3.038 -4.602 -1.642
Al 4.223 -2.741 -2.785
Al 5.450 -4.821 -2.198
Fe 2.179 -1.928 -0.879
Al 4.724 -3.259 -0.406
```

Computed properties:
Formation energy from the elements (meV per atom): 87
SG: No. 216

(22)
First-principles (PBE-GGA) data for Al4FeIr after structural relaxation, as listed in Alexandria via LeMat-Bulk.

extended XYZ file:
```
6
Lattice="-2.135 3.142 1.456 -4.062 -0.189 0.136 -1.734 -1.671 6.750" Properties=species:S:1:pos:R:3 pbc="T T T"
Fe -3.965 0.641 4.171
Al -3.846 -0.312 6.404
Al -4.084 1.595 1.938
Al -1.861 -0.653 4.366
Ir 0.000 0.000 0.000
Al -6.069 1.936 3.976
```

Computed properties:
Formation energy from the elements (meV per atom): -369
SG: No. 166

(23)
First-principles (PBE-GGA) data for Al8FeIr2 after structural relaxation, as listed in Alexandria via LeMat-Bulk.

extended XYZ file:
```
11
Lattice="3.897 0.000 -1.186 -1.108 6.408 -3.640 -0.045 -0.453 6.846" Properties=species:S:1:pos:R:3 pbc="T T T"
Al 3.096 3.915 3.179
Al 2.063 2.664 -0.216
Ir -0.007 4.318 -0.025
Fe 1.948 0.000 -0.593
Al 2.380 5.214 0.827
Ir 2.751 1.637 2.045
Al 0.681 3.291 2.236
Al 0.363 0.741 1.194
Al 1.577 5.479 -1.814
Al 1.167 0.476 3.835
Al -0.353 2.040 -1.159
```

Computed properties:
Formation energy from the elements (meV per atom): -535
SG: No. 71

(24)
First-principles (PBE-GGA) data for Al4FeIr2 after structural relaxation, as listed in Alexandria via LeMat-Bulk.

extended XYZ file:
```
7
Lattice="-4.082 -0.730 -0.868 -1.799 -3.648 1.186 -3.694 1.294 5.945" Properties=species:S:1:pos:R:3 pbc="T T T"
Al -5.386 -0.593 5.144
Al -3.021 0.225 3.678
Ir -2.366 -0.815 1.473
Al -6.554 -3.309 2.584
Al -4.190 -2.491 1.118
Ir -7.209 -2.270 4.790
Fe 0.000 0.000 0.000
```

Computed properties:
Formation energy from the elements (meV per atom): -693
SG: No. 166

(25)
First-principles (PBE-GGA) data for Al2FeIr after structural relaxation, as listed in Alexandria via LeMat-Bulk.

extended XYZ file:
```
4
Lattice="8.475 -0.011 -0.007 8.012 2.764 -0.007 8.012 1.338 2.419" Properties=species:S:1:pos:R:3 pbc="T T T"
Ir 18.400 3.072 1.807
Al 0.096 0.016 0.009
Fe 12.234 2.043 1.201
Al 6.018 1.005 0.591
```

Computed properties:
Formation energy from the elements (meV per atom): -215
SG: No. 160

(26)
First-principles (PBE-GGA) data for AlFe4Ir15 after structural relaxation, as listed in Alexandria via LeMat-Bulk.

extended XYZ file:
```
20
Lattice="-3.221 1.794 -1.038 0.548 -1.113 -3.623 -10.000 -15.990 3.402" Properties=species:S:1:pos:R:3 pbc="T T T"
Al 0.000 0.000 0.000
Ir -8.601 -10.280 1.859
Ir -5.339 -6.060 -0.969
Fe -7.994 -12.782 2.719
Ir -4.726 -8.551 -0.111
Ir -8.704 -14.911 1.242
Ir -0.749 -2.192 -1.464
Ir -2.736 -5.370 -0.788
Ir -3.350 -2.878 -1.646
Fe -2.006 -3.208 0.682
Ir -2.633 -0.739 -0.171
Fe -3.996 -6.389 1.359
Fe -6.004 -9.600 2.042
Ir -4.621 -3.916 0.505
Ir -10.588 -13.457 2.535
Ir -6.611 -7.098 1.182
Ir -9.324 -12.431 0.386
Ir -6.716 -11.733 0.566
Ir -1.337 0.340 -2.331
Ir -7.334 -9.249 -0.290
```

Computed properties:
Formation energy from the elements (meV per atom): -112
SG: No. 123

Number 1: N(E_F) 0.29 states/eV/atom. Number 2: N(E_F) 0.61 states/eV/atom. Number 3: N(E_F) 0.61 states/eV/atom. Number 4: N(E_F) 0.76 states/eV/atom. Number 5: N(E_F) 1.13 states/eV/atom. Number 6: N(E_F) 0.79 states/eV/atom. Number 7: N(E_F) 1.15 states/eV/atom. Number 8: N(E_F) 0.91 states/eV/atom. Number 9: N(E_F) 1.27 states/eV/atom. Number 10: N(E_F) 0.89 states/eV/atom. Number 11: N(E_F) 1.68 states/eV/atom. Number 12: N(E_F) 0.56 states/eV/atom. Number 13: N(E_F) 1.68 states/eV/atom. Number 14: N(E_F) 0.98 states/eV/atom. Number 15: N(E_F) 0.77 states/eV/atom. Number 16: N(E_F) 0.76 states/eV/atom. Number 17: N(E_F) 0.77 states/eV/atom. Number 18: N(E_F) 0.41 states/eV/atom. Number 19: N(E_F) 0.62 states/eV/atom. Number 20: N(E_F) 0.52 states/eV/atom. Number 21: N(E_F) 0.68 states/eV/atom. Number 22: N(E_F) 0.53 states/eV/atom. Number 23: N(E_F) 0.17 states/eV/atom. Number 24: N(E_F) 0.80 states/eV/atom. Number 25: N(E_F) 0.75 states/eV/atom. Number 26: N(E_F) 1.29 states/eV/atom.